An optimized crystal structure of ZnBrCl, computed with PBE-GGA.

a = 3.7051 Å, b = 3.7051 Å, c = 6.6724 Å
α = 90.00°, β = 90.00°, γ = 120.00°
Closest atoms and distances in Å follow each position.
Fractional coordinates of all 3 atoms:
Zn 0.0000 0.0000 0.0000  3 Cl 2.53, 3 Br 2.62
Br 0.6667 0.3333 0.2264  3 Zn 2.62
Cl 0.3333 0.6667 0.7989  3 Zn 2.53

Values from the calculation:
- Raw formation energy: -0.93 eV per atom
- Raw total energy: -2.5232 eV per atom
- SG: P3m1, No. 156